Density functional theory data (PBE with a Hubbard U) for a relaxed structure of MnRuNO2.

a b c (Å): 3.702 3.702 3.952
angles (deg): 90.00 90.00 90.00
Element x y z (fractional)
Mn: 0.000 0.000 0.000
Ru: 0.500 0.500 0.500
N: 0.000 0.000 0.500
O: 0.000 0.500 0.000
O: 0.500 0.000 0.000

**Total magnetic moment**: 1.269 μB per atom
**Fermi-level density of states**: 4.851 states/eV/f.u.
**DFT total energy**: -32.9 eV/f.u.